Density functional theory data (meta-GGA SCAN) for a crystal of SrTl2Cd relaxed with PBEsol.

Lattice parameters (Å, degrees): 3.9084 3.9084 7.4340 90.00 90.00 90.00
Last column: nearest neighbours and their distance in Å.
Space group P4mm (No. 99)
Asymmetric unit:
Sr: 0.0000 0.0000 0.0000 [1 per cell]  4 Cd 3.44, 6 Tl 3.46-3.84
Tl: 0.0000 0.0000 0.5167 [1 per cell]  4 Cd 3.16, 4 Tl 3.28
Tl: 0.5000 0.5000 0.2799 [1 per cell]  4 Tl 3.28, 1 Cd 3.30, 4 Sr 3.46
Cd: 0.5000 0.5000 0.7237 [1 per cell]  5 Tl 3.16-3.30, 4 Sr 3.44

Calculated values
Uncorrected energy: -49.616 eV per atom
Crystal system: tetragonal
Formation energy from the elements: -0.26 eV per atom
V: 28.390 Å³/atom

Density functional theory data (meta-GGA SCAN) for a crystal of KTaZn2 relaxed with PBEsol.

Lattice parameters (Å, degrees): 2.6314 5.2827 5.6464 90.00 90.00 90.00
Last column: nearest neighbours and their distance in Å.
Space group Pmm2 (No. 25)
Asymmetric unit:
K: 0.0000 0.0000 0.0000 [1 per cell]  2 K 2.63, 2 Zn 2.82
Ta: 0.5000 0.5000 0.4991 [1 per cell]  2 Ta 2.63, 2 Zn 2.82
Zn: 0.0000 0.0000 0.4998 [1 per cell]  2 Zn 2.63, 2 K 2.82
Zn: 0.5000 0.5000 0.9988 [1 per cell]  2 Zn 2.63, 2 Ta 2.82

Calculated values
Uncorrected energy: -24.877 eV per atom
Crystal system: orthorhombic
Formation energy from the elements: 0.61 eV per atom
Energy above the lowest structure with this stoichiometry: 0.62 eV per formula unit
V: 19.623 Å³/atom

Density functional theory data (meta-GGA SCAN) for a crystal of Be2CdOs relaxed with PBEsol.

Lattice parameters (Å, degrees): 2.8799 2.8799 6.0413 90.00 90.00 90.00
Last column: nearest neighbours and their distance in Å.
Space group P4mm (No. 99)
Asymmetric unit:
Be: 0.0000 0.0000 0.0000 [1 per cell]  4 Os 2.32, 4 Be 2.34
Be: 0.5000 0.5000 0.1899 [1 per cell]  1 Os 2.25, 4 Be 2.34
Cd: 0.0000 0.0000 0.4763 [1 per cell]  5 Be 2.67-2.88, 4 Cd 2.88, 4 Os 2.90
Os: 0.5000 0.5000 0.8173 [1 per cell]  5 Be 2.25-2.32

Calculated values
Uncorrected energy: -27.575 eV per atom
Crystal system: tetragonal
Formation energy from the elements: 0.18 eV per atom
V: 12.526 Å³/atom

Among the records above, which one has the highest uncorrected energy? KTaZn2

Among the records above, which one has the highest V? SrTl2Cd

What is the V in the third record? 12.526 Å³/atom